one) This record from the Alexandria database describes NbPtRh4 after structural relaxation. The functional is PBE-GGA.

As for the density of states at the Fermi level: 14.81 states/eV/cell. For the magnetic moment, the calculation gives 0.000 μB per atom.

It has space group Cmmm (No. 65), with a = 4.385 Å, b = 7.571 Å, c = 5.487 Å, α = 90.00°, β = 90.00° and γ = 90.00°. Symmetry generates all atoms from Nb at (0.000, 0.000, 0.000), Pt at (0.000, 0.000, 0.500) and Rh at (0.000, 0.333, 0.255).

=====

two) This record from the Alexandria database describes NbPtRh4 after structural relaxation. The functional is PBE-GGA.

As for the density of states at the Fermi level: 5.69 states/eV/cell. For the magnetic moment, the calculation gives 0.000 μB per atom.

It has space group P4/mmm (No. 123), with a = 4.119 Å, b = 4.119 Å, c = 6.298 Å, α = 90.00°, β = 90.00° and γ = 90.00°. Symmetry generates all atoms from Nb at (0.000, 0.000, 0.000), Pt at (0.500, 0.500, 0.500) and Rh at (0.000, 0.500, 0.244).

=====

Compare the structures above. Which one is the most stable? one) is.